Compound: Bi2HRh4
Source: the Alexandria database
Functional: PBE-GGA
Structure: optimized geometry

Values from the calculation:
Its total magnetization is 0.0 μB per cell.

Structure (CIF):
```
data_Bi2HRh4
_chemical_formula_sum 'Bi8 H4 Rh16'
_cell_length_a 8.011
_cell_length_b 5.708
_cell_length_c 9.749
_cell_angle_alpha 90.00
_cell_angle_beta 90.00
_cell_angle_gamma 90.00
_symmetry_space_group_name_H-M 'P n m a'
_symmetry_Int_Tables_number 62
loop_
_symmetry_equiv_pos_as_xyz
'x,y,z'
'-x,-y,-z'
'-x+1/2,-y,z+1/2'
'x+1/2,y,-z+1/2'
'x+1/2,-y+1/2,-z+1/2'
'-x+1/2,y+1/2,z+1/2'
'-x,y+1/2,-z'
'x,-y+1/2,z'
loop_
_atom_site_label
_atom_site_type_symbol
_atom_site_fract_x
_atom_site_fract_y
_atom_site_fract_z
Bi1 Bi 0.001 0.250 0.132
Bi2 Bi 0.149 0.750 0.414
H1 H 0.233 0.750 0.067
Rh1 Rh 0.015 0.750 0.155
Rh2 Rh 0.141 0.250 0.401
Rh3 Rh 0.184 0.501 0.665
```



Compound: Ho4Ag2HgAu
Source: the Alexandria database
Functional: PBE-GGA
Structure: optimized geometry

Values from the calculation:
Its total magnetization is 0.0 μB per cell. The value obtained for the formation energy from the elements is -0.50 eV per atom.

Structure (CIF):
```
data_Ho4Ag2HgAu
_chemical_formula_sum 'Ho12 Ag6 Hg3 Au3'
_cell_length_a 5.1315
_cell_length_b 5.1315
_cell_length_c 25.1614
_cell_angle_alpha 90.00
_cell_angle_beta 90.00
_cell_angle_gamma 120.00
_symmetry_space_group_name_H-M 'R -3 m'
_symmetry_Int_Tables_number 166
_symmetry_space_group_name_Hall '-R 3 2"'
loop_
_atom_site_label
_atom_site_type_symbol
_atom_site_fract_x
_atom_site_fract_y
_atom_site_fract_z
Ho1 Ho 0.0000 0.0000 0.1219
Ho2 Ho 0.0000 0.0000 0.3722
Ag1 Ag 0.0000 0.0000 0.2465
Hg1 Hg 0.0000 0.0000 0.5000
Au1 Au 0.0000 0.0000 0.0000
```



Compound: BaAs2
Source: the Alexandria database
Functional: PBE-GGA
Structure: optimized geometry

Values from the calculation:
Its total magnetization is 0.0 μB per cell. The value obtained for the formation energy from the elements is -0.76 eV per atom.

Structure (CIF):
```
data_BaAs2
_chemical_formula_sum 'Ba4 As8'
_cell_length_a 4.716
_cell_length_b 4.716
_cell_length_c 15.892
_cell_angle_alpha 90.00
_cell_angle_beta 90.00
_cell_angle_gamma 90.00
_symmetry_space_group_name_H-M 'I 41/a m d'
_symmetry_Int_Tables_number 141
loop_
_symmetry_equiv_pos_as_xyz
'x,y,z'
'-x,-y,-z'
'-y+1/4,x+3/4,z+1/4'
'y+1/4,-x+3/4,-z+1/4'
'-x+1/2,-y,z+1/2'
'x+1/2,y,-z+1/2'
'y+1/4,-x+1/4,z+3/4'
'-y+1/4,x+1/4,-z+3/4'
'x,-y,-z'
'-x,y,z'
'-y+1/4,-x+1/4,-z+3/4'
'y+1/4,x+1/4,z+3/4'
'-x+1/2,y,-z+1/2'
'x+1/2,-y,z+1/2'
'y+1/4,x+3/4,-z+1/4'
'-y+1/4,-x+3/4,z+1/4'
'x+1/2,y+1/2,z+1/2'
'-x+1/2,-y+1/2,-z+1/2'
'-y+3/4,x+1/4,z+3/4'
'y+3/4,-x+1/4,-z+3/4'
'-x,-y+1/2,z'
'x,y+1/2,-z'
'y+3/4,-x+3/4,z+1/4'
'-y+3/4,x+3/4,-z+1/4'
'x+1/2,-y+1/2,-z+1/2'
'-x+1/2,y+1/2,z+1/2'
'-y+3/4,-x+3/4,-z+1/4'
'y+3/4,x+3/4,z+1/4'
'-x,y+1/2,-z'
'x,-y+1/2,z'
'y+3/4,x+1/4,-z+3/4'
'-y+3/4,-x+1/4,z+3/4'
loop_
_atom_site_label
_atom_site_type_symbol
_atom_site_fract_x
_atom_site_fract_y
_atom_site_fract_z
Ba1 Ba 0.000 0.250 0.375
As1 As 0.000 0.250 0.793
```



Compound: Ac3As4Pd2
Source: the Alexandria database
Functional: PBE-GGA
Structure: optimized geometry

Values from the calculation:
Its total magnetization is 0.0 μB per cell. The value obtained for the formation energy from the elements is -1.03 eV per atom. The value obtained for the excess energy over the best structure of this formula in the dataset is 51.5 meV per atom.

Structure (CIF):
```
data_Ac3As4Pd2
_chemical_formula_sum 'Ac6 As8 Pd4'
_cell_length_a 12.170
_cell_length_b 4.542
_cell_length_c 9.069
_cell_angle_alpha 90.00
_cell_angle_beta 113.76
_cell_angle_gamma 90.00
_symmetry_space_group_name_H-M 'C 1 2/m 1'
_symmetry_Int_Tables_number 12
loop_
_symmetry_equiv_pos_as_xyz
'x,y,z'
'-x,-y,-z'
'-x,y,-z'
'x,-y,z'
'x+1/2,y+1/2,z'
'-x+1/2,-y+1/2,-z'
'-x+1/2,y+1/2,-z'
'x+1/2,-y+1/2,z'
loop_
_atom_site_label
_atom_site_type_symbol
_atom_site_fract_x
_atom_site_fract_y
_atom_site_fract_z
Ac1 Ac 0.000 0.000 0.000
Ac2 Ac 0.134 0.500 0.714
As1 As 0.086 0.000 0.403
As2 As 0.193 0.500 0.103
Pd1 Pd 0.183 0.500 0.385
```



Compound: NaTaCd
Source: the Alexandria database
Functional: PBE-GGA
Structure: optimized geometry

Values from the calculation:
Its total magnetization is 0.0 μB per cell. The value obtained for the formation energy from the elements is 0.62 eV per atom. The value obtained for the excess energy over the best structure of this formula in the dataset is 481.3 meV per atom.

Structure (CIF):
```
data_NaTaCd
_chemical_formula_sum 'Na4 Ta4 Cd4'
_cell_length_a 6.115
_cell_length_b 4.302
_cell_length_c 10.002
_cell_angle_alpha 90.00
_cell_angle_beta 90.00
_cell_angle_gamma 90.00
_symmetry_space_group_name_H-M 'P n m a'
_symmetry_Int_Tables_number 62
loop_
_symmetry_equiv_pos_as_xyz
'x,y,z'
'-x,-y,-z'
'-x+1/2,-y,z+1/2'
'x+1/2,y,-z+1/2'
'x+1/2,-y+1/2,-z+1/2'
'-x+1/2,y+1/2,z+1/2'
'-x,y+1/2,-z'
'x,-y+1/2,z'
loop_
_atom_site_label
_atom_site_type_symbol
_atom_site_fract_x
_atom_site_fract_y
_atom_site_fract_z
Na1 Na 0.153 0.250 0.237
Ta1 Ta 0.088 0.250 0.557
Cd1 Cd 0.115 0.250 0.915
```



Compound: PrNd2Th
Source: the Alexandria database
Functional: PBE-GGA
Structure: optimized geometry

Values from the calculation:
Its total magnetization is 0.0 μB per cell. The value obtained for the formation energy from the elements is 0.03 eV per atom. The value obtained for the excess energy over the best structure of this formula in the dataset is 8.8 meV per atom.

Structure (CIF):
```
data_PrNd2Th
_chemical_formula_sum 'Pr1 Nd2 Th1'
_cell_length_a 3.636
_cell_length_b 3.636
_cell_length_c 10.515
_cell_angle_alpha 90.00
_cell_angle_beta 90.00
_cell_angle_gamma 90.00
_symmetry_space_group_name_H-M 'P 4/m m m'
_symmetry_Int_Tables_number 123
_symmetry_space_group_name_Hall '-P 4 2'
loop_
_atom_site_label
_atom_site_type_symbol
_atom_site_fract_x
_atom_site_fract_y
_atom_site_fract_z
Pr1 Pr 0.000 0.000 0.000
Nd1 Nd 0.500 0.500 0.264
Th1 Th 0.000 0.000 0.500
```



Compound: Ta2NbV
Source: the Alexandria database
Functional: PBE-GGA
Structure: optimized geometry

Values from the calculation:
Its total magnetization is 0.0 μB per cell. The value obtained for the formation energy from the elements is 0.03 eV per atom. The value obtained for the excess energy over the best structure of this formula in the dataset is 12.1 meV per atom.

Structure (CIF):
```
data_Ta2NbV
_chemical_formula_sum 'Ta4 Nb2 V2'
_cell_length_a 3.293
_cell_length_b 4.629
_cell_length_c 9.039
_cell_angle_alpha 90.00
_cell_angle_beta 90.00
_cell_angle_gamma 90.00
_symmetry_space_group_name_H-M 'C m m m'
_symmetry_Int_Tables_number 65
_symmetry_space_group_name_Hall '-C 2 2'
loop_
_atom_site_label
_atom_site_type_symbol
_atom_site_fract_x
_atom_site_fract_y
_atom_site_fract_z
Ta1 Ta 0.000 0.000 0.233
Nb1 Nb 0.000 0.500 0.500
V1 V 0.000 0.500 0.000
```



Compound: SrCaMo2
Source: the Alexandria database
Functional: PBE-GGA
Structure: optimized geometry

Values from the calculation:
Its total magnetization is 0.0 μB per cell. The value obtained for the formation energy from the elements is 1.04 eV per atom. The value obtained for the excess energy over the best structure of this formula in the dataset is 577.1 meV per atom.

Structure (CIF):
```
data_SrCaMo2
_chemical_formula_sum 'Sr2 Ca2 Mo4'
_cell_length_a 4.035
_cell_length_b 4.088
_cell_length_c 10.599
_cell_angle_alpha 90.00
_cell_angle_beta 90.00
_cell_angle_gamma 90.00
_symmetry_space_group_name_H-M 'C m m m'
_symmetry_Int_Tables_number 65
_symmetry_space_group_name_Hall '-C 2 2'
loop_
_atom_site_label
_atom_site_type_symbol
_atom_site_fract_x
_atom_site_fract_y
_atom_site_fract_z
Sr1 Sr 0.000 0.000 0.000
Ca1 Ca 0.000 0.000 0.500
Mo1 Mo 0.000 0.500 0.258
```



| no. | density of states at the Fermi level (states/eV per cell) | uncorrected energy (eV/atom) |
| --- | --- | --- |
| 1 | 26.31 | -5.79 |
| 2 | 20.09 | -3.95 |
| 3 | 4.54 | -4.50 |
| 4 | 10.70 | -5.62 |
| 5 | 11.44 | -4.08 |
| 6 | 5.12 | -5.40 |
| 7 | 13.21 | -10.69 |
| 8 | 5.01 | -5.30 |